Entry 1:
Density functional theory data (PBE-GGA) for a relaxed structure of VCS2Cl.

Unit cell a=4.0817 b=4.0817 c=4.2293 alpha=90.00 beta=90.00 gamma=90.00
Element x y z (fractional)
V (0.0000, 0.0000, 0.0000)
C (0.5000, 0.5000, 0.5000)
S (0.0000, 0.5000, 0.5000)
S (0.5000, 0.0000, 0.5000)
Cl (0.5000, 0.5000, 0.0000)

Results
SG ... No. 123
Magnetic moment ... 0.06 μB/atom
Total energy ... -22.52 eV/cell
ΔE to the lowest computed polymorph ... 0.102 eV per atom

---

Entry 2:
Density functional theory data (PBE-GGA) for a relaxed structure of WCS2Cl.

Unit cell a=4.0612 b=4.0612 c=4.0565 alpha=90.00 beta=90.00 gamma=90.00
Element x y z (fractional)
W (0.0000, 0.0000, 0.0000)
C (0.5000, 0.5000, 0.5000)
S (0.0000, 0.5000, 0.5000)
S (0.5000, 0.0000, 0.5000)
Cl (0.5000, 0.5000, 0.0000)

Results
SG ... No. 123
Magnetic moment ... 0.06 μB/atom
Total energy ... -24.34 eV/cell
ΔE to the lowest computed polymorph ... 0.255 eV per atom

---

Entry 3:
Density functional theory data (PBE-GGA) for a relaxed structure of WCS2Cl.

Unit cell a=4.6547 b=4.6547 c=4.8007 alpha=90.00 beta=90.00 gamma=90.00
Element x y z (fractional)
W (0.0000, 0.0000, 0.0000)
C (0.5000, 0.5000, 0.5000)
S (0.0000, 0.5000, 0.0000)
S (0.5000, 0.0000, 0.0000)
Cl (0.0000, 0.0000, 0.5000)

Results
SG ... No. 123
Magnetic moment ... 0.42 μB/atom
Total energy ... -25.61 eV/cell
ΔE to the lowest computed polymorph ... 0.000 eV per atom

---

Entry 4:
Density functional theory data (PBE-GGA) for a relaxed structure of YCS2Cl.

Unit cell a=5.3185 b=5.3185 c=5.1564 alpha=90.00 beta=90.00 gamma=90.00
Element x y z (fractional)
Y (0.0000, 0.0000, 0.0000)
C (0.5000, 0.5000, 0.5000)
S (0.0000, 0.5000, 0.0000)
S (0.5000, 0.0000, 0.0000)
Cl (0.0000, 0.0000, 0.5000)

Results
SG ... No. 123
Magnetic moment ... 0.05 μB/atom
Total energy ... -21.77 eV/cell
ΔE to the lowest computed polymorph ... 0.786 eV per atom